VASP calculation (PBE) on a geometry-optimized TmPuNi2Ge2 structure.

Lattice parameters (Å, degrees): 4.1999 4.1999 7.1576 90.00 90.00 120.00
Space group P-3m1 (No. 164)
Asymmetric unit:
Tm1 0.0000 0.0000 0.0000 [1 per cell]
Pu1 0.0000 0.0000 0.5000 [1 per cell]
Ni1 0.3333 0.6667 0.2270 [2 per cell]
Ge1 0.3333 0.6667 0.7573 [2 per cell]

Size of the total moment, μB/cell: 4.9
Calculated formation energy, eV per formula unit: -3.64